Record 1
Compound: HfTcW3
Source: Alexandria via LeMat-Bulk
Functional: PBE
Structure: relaxed

The structure in POSCAR format:
```
HfTcW3
1.0
4.704 0.000 0.000
0.000 4.704 0.000
0.000 0.000 4.704
Hf Tc W
1 1 3
direct
0.000 0.000 0.000
0.500 0.500 0.500
0.000 0.500 0.500
0.500 0.000 0.500
0.500 0.500 0.000
```

Calculated values
Polymorph energy (0 for the lowest one): 0.000 eV/atom
Space-group type: Pm-3m (221)
Calculated total energy: -10.29 eV/atom
Crystal system: cubic
DFT formation energy: 1.5490 eV/atom
V: 104.1 Å³ per cell
Density: 13.2 g/cm³


Record 2
Compound: Hf2TcW
Source: Alexandria via LeMat-Bulk
Functional: PBE
Structure: relaxed

The structure in POSCAR format:
```
Hf2TcW
1.0
-3.691 3.691 2.821
3.691 -3.691 2.821
3.691 3.691 -2.821
Hf Tc W
4 2 2
direct
0.107 0.125 0.482
0.375 0.893 0.018
0.643 0.625 0.518
0.875 0.357 0.982
0.000 0.000 0.000
0.750 0.250 0.500
0.250 0.750 0.500
0.500 0.500 0.000
```

Calculated values
Space-group type: I-42d (122)
Calculated total energy: -10.22 eV/atom
Crystal system: tetragonal
DFT formation energy: 0.5896 eV/atom
V: 153.8 Å³ per cell
Density: 13.8 g/cm³


Record 3
Compound: HfTcW
Source: Alexandria via LeMat-Bulk
Functional: PBE
Structure: relaxed

The structure in POSCAR format:
```
HfTcW
1.0
-2.664 2.710 3.680
2.664 -2.710 3.680
2.664 2.710 -3.680
Hf Tc W
2 2 2
direct
0.378 0.128 0.250
0.622 0.872 0.750
0.000 0.500 0.500
0.500 0.500 0.000
0.000 0.000 0.500
0.000 0.500 0.000
```

Calculated values
Polymorph energy (0 for the lowest one): 0.000 eV/atom
Space-group type: Imma (74)
Calculated total energy: -11.36 eV/atom
Crystal system: orthorhombic
DFT formation energy: -0.2688 eV/atom
V: 106.3 Å³ per cell
Density: 14.4 g/cm³


Record 4
Compound: Hf6Tc5W
Source: Alexandria via LeMat-Bulk
Functional: PBE
Structure: relaxed

The structure in POSCAR format:
```
Hf6Tc5W
1.0
-2.322 3.276 6.928
2.322 -3.276 6.928
2.322 3.276 -6.928
Hf Tc W
6 5 1
direct
0.079 0.331 0.747
0.245 0.000 0.245
0.416 0.669 0.747
0.584 0.331 0.253
0.755 0.000 0.755
0.921 0.669 0.253
0.000 0.500 0.500
0.168 0.168 0.000
0.337 0.837 0.500
0.663 0.163 0.500
0.832 0.832 0.000
0.500 0.500 0.000
```

Calculated values
Space-group type: Immm (71)
Calculated total energy: -10.74 eV/atom
Crystal system: orthorhombic
DFT formation energy: -0.3614 eV/atom
V: 210.8 Å³ per cell
Density: 13.7 g/cm³


Copy entry 4 word for word.
Compound: Hf6Tc5W
Source: Alexandria via LeMat-Bulk
Functional: PBE
Structure: relaxed

The structure in POSCAR format:
```
Hf6Tc5W
1.0
-2.322 3.276 6.928
2.322 -3.276 6.928
2.322 3.276 -6.928
Hf Tc W
6 5 1
direct
0.079 0.331 0.747
0.245 0.000 0.245
0.416 0.669 0.747
0.584 0.331 0.253
0.755 0.000 0.755
0.921 0.669 0.253
0.000 0.500 0.500
0.168 0.168 0.000
0.337 0.837 0.500
0.663 0.163 0.500
0.832 0.832 0.000
0.500 0.500 0.000
```

Calculated values
Space-group type: Immm (71)
Calculated total energy: -10.74 eV/atom
Crystal system: orthorhombic
DFT formation energy: -0.3614 eV/atom
V: 210.8 Å³ per cell
Density: 13.7 g/cm³


Question: Among the records above, which one has the highest calculated total energy?
Answer: Hf2TcW


Question: density of number 1 (HfTcW3)?
Answer: 13.2 g/cm³